The following is a PBE calculation of crystalline KZnInF4 at its relaxed geometry, from Alexandria.

a = 6.204 Å, b = 6.086 Å, c = 7.840 Å
α = 90.00°, β = 109.75°, γ = 90.00°
Space group P2_1/m (No. 11)
Symmetry-distinct sites (fractional):
K 0.250 0.250 0.050 (multiplicity 2)
Zn 0.497 0.750 0.294 (multiplicity 2)
In 0.162 0.750 0.568 (multiplicity 2)
F 0.179 0.750 0.151 (multiplicity 2)
F 0.361 0.005 0.791 (multiplicity 4)
F 0.459 0.250 0.450 (multiplicity 2)

Output
Formation energy without anion corrections: -217.97 kJ per mole of atoms
V: 278.6 Å³ per cell
Size of the total moment: 0.00 μB/f.u.